Version one
Material: CsHg2GePd
Method: DFT, PBE
State: optimized geometry

Results
- D(E_F) (states/eV/cell) = 2.5
- SG = P4/mmm

Cell lengths 5.5391, 5.5391, 4.8849 Å; angles 90.00, 90.00, 90.00 degrees
Last column: nearest neighbours and their distance in Å.
Fractional coordinates of all 5 atoms:
Pd 0.0000 0.0000 0.0000  2 Ge 2.44
Hg 0.5000 0.0000 0.0000  2 Pd 2.77
Ge 0.0000 0.0000 0.5000  2 Pd 2.44
Cs 0.5000 0.5000 0.5000  8 Hg 3.69, 4 Ge 3.92
Hg 0.0000 0.5000 0.0000  2 Pd 2.77

Version two
Material: CsHg2GePd
Method: DFT, PBE
State: optimized geometry

Results
- D(E_F) (states/eV/cell) = 1.7
- SG = P4/mmm

Cell lengths 5.5836, 5.5836, 4.9475 Å; angles 90.00, 90.00, 90.00 degrees
Last column: nearest neighbours and their distance in Å.
Fractional coordinates of all 5 atoms:
Hg 0.0000 0.5000 0.0000  2 Ge 2.79
Cs 0.5000 0.5000 0.5000  8 Hg 3.73, 4 Pd 3.95
Ge 0.0000 0.0000 0.0000  2 Pd 2.47
Pd 0.0000 0.0000 0.5000  2 Ge 2.47
Hg 0.5000 0.0000 0.0000  2 Ge 2.79

Which structure is most stable? version one, by 0.052 eV/atom over the runner-up.

Version one
Material: Cs2Ge2I5
Method: DFT, PBE
State: optimized geometry

Results
- D(E_F) (states/eV/cell) = 3.0
- SG = C2/m

Cell lengths 6.4795, 9.1652, 8.7692 Å; angles 111.05, 90.00, 110.70 degrees
Last column: nearest neighbours and their distance in Å.
Fractional coordinates of all 9 atoms:
Ge 0.1598 0.3195 0.8963  2 I 2.81-2.89
Cs 0.6001 0.2002 0.2975  7 I 3.92-4.13
I 0.1531 0.3062 0.5706  1 Ge 2.81
I 0.6610 0.3220 0.9060  1 Ge 2.89
I 0.8469 0.6938 0.4294  1 Ge 2.81
Ge 0.8402 0.6805 0.1037  2 I 2.81-2.89
I 0.3390 0.6780 0.0940  1 Ge 2.89
Cs 0.3999 0.7998 0.7025  7 I 3.92-4.13
I 0.0000 0.0000 0.0000  2 Ge 3.20

Version two
Material: Cs2Ge2I5
Method: DFT, PBE
State: optimized geometry

Results
- D(E_F) (states/eV/cell) = 2.9
- SG = Amm2

Cell lengths 6.3557, 6.3557, 9.7335 Å; angles 90.00, 90.00, 88.49 degrees
Last column: nearest neighbours and their distance in Å.
Fractional coordinates of all 9 atoms:
I 0.5346 0.0673 0.7736  1 Ge 2.79
Cs 0.0327 0.0327 0.5000  11 I 4.14-4.44
I 0.0673 0.5346 0.2264  1 Ge 2.79
Ge 0.5017 0.5017 0.8122  3 I 2.79-3.09
Cs 0.0344 0.0344 0.0000  8 I 3.87-3.88
I 0.5346 0.0673 0.2264  1 Ge 2.79
I 0.0673 0.5346 0.7736  1 Ge 2.79
Ge 0.5017 0.5017 0.1878  3 I 2.79-3.09
I 0.5618 0.5618 0.5000  2 Ge 3.09

Which structure is most stable? version two, by 0.039 eV/atom over the runner-up.

Version one
Material: Cs3Ge2I7
Method: DFT, PBE
State: optimized geometry

Results
- SG = I4/mmm

Cell lengths 5.9913, 5.9913, 16.1968 Å; angles 100.66, 100.66, 90.00 degrees
Last column: nearest neighbours and their distance in Å.
Fractional coordinates of all 12 atoms:
I 0.9046 0.4046 0.8092  2 Ge 3.00
Ge 0.9010 0.9010 0.8021  6 I 2.97-3.09
Cs 0.3199 0.3199 0.6398  9 I 3.94-4.26
I 0.0000 0.0000 0.0000  2 Ge 3.09
Cs 0.6801 0.6801 0.3602  9 I 3.94-4.26
I 0.4046 0.9046 0.8092  2 Ge 3.00
I 0.5954 0.0954 0.1908  2 Ge 3.00
I 0.1939 0.1939 0.3878  1 Ge 2.97
Ge 0.0990 0.0990 0.1979  6 I 2.97-3.09
Cs 0.5000 0.5000 0.0000  12 I 4.23-4.24
I 0.0954 0.5954 0.1908  2 Ge 3.00
I 0.8061 0.8061 0.6122  1 Ge 2.97

Version two
Material: Cs3Ge2I7
Method: DFT, PBE
State: optimized geometry

Results
- SG = Cmmm

Cell lengths 5.9411, 6.0218, 15.7436 Å; angles 101.03, 90.00, 90.00 degrees
Last column: nearest neighbours and their distance in Å.
Fractional coordinates of all 12 atoms:
I 0.5000 0.0974 0.1949  2 Ge 2.97
Ge 0.0000 0.8985 0.7971  6 I 2.94-3.14
I 0.0000 0.0000 0.0000  2 Ge 3.14
Cs 0.5000 0.3191 0.6381  8 I 3.95-4.26
I 0.0000 0.1967 0.3934  1 Ge 2.94
Ge 0.0000 0.1015 0.2029  6 I 2.94-3.14
Cs 0.5000 0.6809 0.3619  8 I 3.95-4.26
I 0.0000 0.5967 0.1933  2 Ge 3.01
I 0.0000 0.8033 0.6066  1 Ge 2.94
Cs 0.5000 0.5000 0.0000  12 I 4.21-4.26
I 0.0000 0.4033 0.8067  2 Ge 3.01
I 0.5000 0.9026 0.8051  2 Ge 2.97

Which structure is most stable? version one, by 0.013 eV/atom over the runner-up.

Version one
Material: CsGeI4
Method: DFT, PBE
State: optimized geometry

Results
- D(E_F) (states/eV/cell) = 3.9
- SG = C2/m

Cell lengths 8.2679, 7.4794, 8.0861 Å; angles 60.55, 59.25, 56.45 degrees
Last column: nearest neighbours and their distance in Å.
Fractional coordinates of all 6 atoms:
I 0.8417 0.8973 0.9192  1 Ge 2.79
I 0.1583 0.1027 0.0808  1 Ge 2.79
Ge 0.0000 0.0000 0.5000  4 I 2.79
Cs 0.5000 0.5000 0.0000  4 I 3.96
I 0.2014 0.5378 0.5594  1 Ge 2.79
I 0.7986 0.4622 0.4406  1 Ge 2.79

Version two
Material: CsGeI4
Method: DFT, PBE
State: optimized geometry

Results
- D(E_F) (states/eV/cell) = 9.6
- SG = Cmcm

Cell lengths 5.5892, 8.5201, 12.3589 Å; angles 90.00, 103.07, 90.00 degrees
Last column: nearest neighbours and their distance in Å.
Fractional coordinates of all 12 atoms:
I 0.1767 0.9882 0.3534  1 Ge 2.68
I 0.1767 0.5118 0.3534  1 Ge 2.68
Cs 0.4102 0.7500 0.8204  11 I 4.03-4.27
I 0.5776 0.7500 0.1553  2 Ge 2.87
I 0.0000 0.0000 0.0000  2 Ge 3.29
Cs 0.5898 0.2500 0.1796  11 I 4.03-4.27
Ge 0.8959 0.2500 0.7918  4 I 2.68-2.87
I 0.8233 0.0118 0.6466  1 Ge 2.68
I 0.8233 0.4882 0.6466  1 Ge 2.68
Ge 0.1041 0.7500 0.2082  4 I 2.68-2.87
I 0.0000 0.5000 0.0000  2 Ge 3.29
I 0.4224 0.2500 0.8447  2 Ge 2.87

Which structure is most stable? version two, by 0.159 eV/atom over the runner-up.

Version one
Material: Cs2GeI
Method: DFT, PBE
State: optimized geometry

Results
- D(E_F) (states/eV/cell) = 0.0
- SG = Fm-3m

Cell lengths 6.5879, 6.5879, 6.5879 Å; angles 60.00, 60.00, 60.00 degrees
Last column: nearest neighbours and their distance in Å.
Fractional coordinates of all 4 atoms:
Cs 0.2500 0.2500 0.2500  4 Ge 4.03, 4 I 4.03
I 0.5000 0.5000 0.5000  8 Cs 4.03
Ge 0.0000 0.0000 0.0000  8 Cs 4.03
Cs 0.7500 0.7500 0.7500  4 Ge 4.03, 4 I 4.03

Version two
Material: Cs2GeI
Method: DFT, PBE
State: optimized geometry

Results
- D(E_F) (states/eV/cell) = 0.0
- SG = I-42d

Cell lengths 8.7417, 8.7417, 10.6966 Å; angles 65.88, 65.88, 90.00 degrees
Last column: nearest neighbours and their distance in Å.
Fractional coordinates of all 8 atoms:
Cs 0.3750 0.3745 0.7500  2 I 3.78, 2 Ge 3.79
Cs 0.1245 0.6250 0.2500  2 I 3.78, 2 Ge 3.79
Cs 0.8750 0.8755 0.7500  2 I 3.78, 2 Ge 3.79
Cs 0.6255 0.1250 0.2500  2 I 3.78, 2 Ge 3.79
Ge 0.5000 0.5000 0.0000  4 Cs 3.79
I 0.7500 0.2500 0.5000  4 Cs 3.78
Ge 0.2500 0.7500 0.5000  4 Cs 3.79
I 0.0000 0.0000 0.0000  4 Cs 3.78

Which structure is most stable? version one, by 0.077 eV/atom over the runner-up.

Version one
Material: CsGeSb2I
Method: DFT, PBE
State: optimized geometry

Results
- D(E_F) (states/eV/cell) = 5.3
- SG = P4/mmm

Cell lengths 6.4540, 6.4540, 6.7526 Å; angles 90.00, 90.00, 90.00 degrees
Last column: nearest neighbours and their distance in Å.
Fractional coordinates of all 5 atoms:
I 0.0000 0.0000 0.5000  2 Cs 3.38
Sb 0.0000 0.5000 0.0000  2 Cs 3.23
Sb 0.5000 0.0000 0.0000  2 Cs 3.23
Cs 0.0000 0.0000 0.0000  4 Sb 3.23, 2 I 3.38
Ge 0.5000 0.5000 0.5000  4 I 4.56, 8 Sb 4.67

Version two
Material: CsGeSb2I
Method: DFT, PBE
State: optimized geometry

Results
- D(E_F) (states/eV/cell) = 4.0
- SG = P4/mmm

Cell lengths 5.4330, 5.4330, 7.0118 Å; angles 90.00, 90.00, 90.00 degrees
Last column: nearest neighbours and their distance in Å.
Fractional coordinates of all 5 atoms:
I 0.0000 0.0000 0.5000  2 Ge 3.51, 4 Cs 3.84
Ge 0.0000 0.0000 0.0000  4 Sb 2.72
Sb 0.5000 0.0000 0.0000  2 Ge 2.72
Cs 0.5000 0.5000 0.5000  4 I 3.84
Sb 0.0000 0.5000 0.0000  2 Ge 2.72

Which structure is most stable? version two, by 1.319 eV/atom over the runner-up.